1.
The following is a DFT calculation (PBE-GGA) of an optimized crystal structure of PmBe2InAu5.

Lattice parameters (Å, degrees): 4.6901 4.6901 7.6194 90.00 90.00 90.00
Fractional coordinates of all 9 atoms:
Pm  0.0000  0.0000  0.0000
Be  0.5000  0.5000  0.3245
Be  0.5000  0.5000  0.6755
In  0.0000  0.0000  0.5000
Au  0.0000  0.5000  0.2690
Au  0.0000  0.5000  0.7310
Au  0.5000  0.0000  0.2690
Au  0.5000  0.0000  0.7310
Au  0.5000  0.5000  0.0000

Computed properties:
**Formation energy from the elements**: -264 meV/atom
**Space-group type**: P4/mmm, No. 123
**Total moment**: 0.00 μB/f.u.


2.
The following is a DFT calculation (PBE-GGA) of an optimized crystal structure of LaB3C2.

Lattice parameters (Å, degrees): 6.9264 6.9264 7.0369 118.27 118.27 24.04
Fractional coordinates of all 12 atoms:
La  0.1467  0.1467  0.0924
La  0.8533  0.8533  0.9076
B  0.0650  0.0650  0.3787
B  0.2209  0.2209  0.5232
B  0.3931  0.3931  0.3009
B  0.6069  0.6069  0.6991
B  0.7791  0.7791  0.4768
B  0.9350  0.9350  0.6213
C  0.1531  0.1531  0.6597
C  0.4954  0.4954  0.7221
C  0.5046  0.5046  0.2779
C  0.8469  0.8469  0.3403

Computed properties:
**Formation energy from the elements**: -16 meV/atom
**Space-group type**: C2/m, No. 12
**Total moment**: 0.00 μB/f.u.